Computed, not measured: a relaxed structure of LaFe2PbO6 at the PBE with a Hubbard U level of DFT.

Results
M_tot = 0.948 μB per atom
crystal system = orthorhombic
VASP energy = -135.71 eV for the cell shown

a b c (Å): 7.943 5.670 5.555
angles (deg): 90.00 90.00 90.00
Space group Pmn2_1 (No. 31)
Unique sites:
La1 0.000 0.209 0.000
Fe1 0.250 0.254 0.510
Pb1 0.000 0.705 0.520
O1 0.000 0.278 0.427
O2 0.000 0.776 0.105
O3 0.202 0.953 0.713
O4 0.205 0.456 0.805